This record from Alexandria describes a geometry-optimized MnBiO2F structure. The functional is PBE with a Hubbard U.

Uncorrected energy in eV per cell: -29.9
Magnetic moment in μB per atom: 0.8544
Space-group type: P4/mmm (123)

a b c (Å): 4.0354 4.0354 4.0773
angles (deg): 90.00 90.00 90.00
With the nearest neighbours (Å) after each atom.
Element x y z (fractional)
1 Bi 0.5000 0.5000 0.5000  4 F 2.85, 8 O 2.87
2 O 0.5000 0.0000 0.0000  2 Mn 2.02
3 F 0.0000 0.0000 0.5000  2 Mn 2.04
4 O 0.0000 0.5000 0.0000  2 Mn 2.02
5 Mn 0.0000 0.0000 0.0000  4 O 2.02, 2 F 2.04